No. 1
Material: MoIrW2
Method: DFT, GGA-PBE
State: relaxed

Structure (CIF):
```
data_MoIrW2
_chemical_formula_sum 'Mo1 Ir1 W2'
_cell_length_a 2.745
_cell_length_b 2.745
_cell_length_c 8.496
_cell_angle_alpha 90.00
_cell_angle_beta 90.00
_cell_angle_gamma 100.03
_symmetry_space_group_name_H-M 'P 1'
_symmetry_Int_Tables_number 1
_symmetry_space_group_name_Hall 'P 1'
loop_
_atom_site_label
_atom_site_fract_x
_atom_site_fract_y
_atom_site_fract_z
Mo1 0.500 0.500 0.737
Ir1 0.000 0.000 0.500
W1 0.500 0.500 0.263
W2 0.000 0.000 0.000
```



No. 2
Material: Mo2IrW
Method: DFT, GGA-PBE
State: relaxed

Structure (CIF):
```
data_Mo2IrW
_chemical_formula_sum 'Mo2 Ir1 W1'
_cell_length_a 4.879
_cell_length_b 4.879
_cell_length_c 4.920
_cell_angle_alpha 81.44
_cell_angle_beta 81.44
_cell_angle_gamma 32.76
_symmetry_space_group_name_H-M 'P 1'
_symmetry_Int_Tables_number 1
_symmetry_space_group_name_Hall 'P 1'
loop_
_atom_site_label
_atom_site_fract_x
_atom_site_fract_y
_atom_site_fract_z
Ir1 0.250 0.250 0.251
Mo1 0.751 0.751 0.752
Mo2 0.990 0.990 0.006
W1 0.510 0.510 0.491
```



No. 3
Material: MoIr4W
Method: DFT, GGA-PBE
State: relaxed

Structure (CIF):
```
data_MoIr4W
_chemical_formula_sum 'Mo1 Ir4 W1'
_cell_length_a 5.108
_cell_length_b 5.108
_cell_length_c 5.108
_cell_angle_alpha 60.00
_cell_angle_beta 60.00
_cell_angle_gamma 60.00
_symmetry_space_group_name_H-M 'P 1'
_symmetry_Int_Tables_number 1
_symmetry_space_group_name_Hall 'P 1'
loop_
_atom_site_label
_atom_site_fract_x
_atom_site_fract_y
_atom_site_fract_z
Mo1 0.750 0.750 0.750
Ir1 0.375 0.375 0.875
Ir2 0.375 0.375 0.375
Ir3 0.375 0.875 0.375
Ir4 0.875 0.375 0.375
W1 0.000 0.000 0.000
```



No. 4
Material: Mo2IrW
Method: DFT, GGA-PBE
State: relaxed

Structure (CIF):
```
data_Mo2IrW
_chemical_formula_sum 'Mo2 Ir1 W1'
_cell_length_a 2.729
_cell_length_b 4.024
_cell_length_c 5.709
_cell_angle_alpha 90.00
_cell_angle_beta 90.00
_cell_angle_gamma 90.00
_symmetry_space_group_name_H-M 'P 1'
_symmetry_Int_Tables_number 1
_symmetry_space_group_name_Hall 'P 1'
loop_
_atom_site_label
_atom_site_fract_x
_atom_site_fract_y
_atom_site_fract_z
Mo1 0.000 0.000 0.994
Mo2 0.500 0.500 0.249
Ir1 0.500 0.500 0.749
W1 0.000 0.000 0.508
```



No. 5
Material: MoIrW2
Method: DFT, GGA-PBE
State: relaxed

Structure (CIF):
```
data_MoIrW2
_chemical_formula_sum 'Mo1 Ir1 W2'
_cell_length_a 4.882
_cell_length_b 4.882
_cell_length_c 4.947
_cell_angle_alpha 81.49
_cell_angle_beta 81.49
_cell_angle_gamma 32.73
_symmetry_space_group_name_H-M 'P 1'
_symmetry_Int_Tables_number 1
_symmetry_space_group_name_Hall 'P 1'
loop_
_atom_site_label
_atom_site_fract_x
_atom_site_fract_y
_atom_site_fract_z
Mo1 0.250 0.250 0.250
Ir1 0.750 0.750 0.750
W1 0.010 0.010 0.993
W2 0.490 0.490 0.507
```



No. 6
Material: MoIr2W
Method: DFT, GGA-PBE
State: relaxed

Structure (CIF):
```
data_MoIr2W
_chemical_formula_sum 'Mo1 Ir2 W1'
_cell_length_a 4.808
_cell_length_b 4.808
_cell_length_c 4.807
_cell_angle_alpha 131.86
_cell_angle_beta 131.85
_cell_angle_gamma 70.47
_symmetry_space_group_name_H-M 'P 1'
_symmetry_Int_Tables_number 1
_symmetry_space_group_name_Hall 'P 1'
loop_
_atom_site_label
_atom_site_fract_x
_atom_site_fract_y
_atom_site_fract_z
Ir1 0.000 0.000 0.000
Ir2 0.500 0.500 0.000
Mo1 0.250 0.750 0.500
W1 0.750 0.250 0.500
```



No. 7
Material: MoIrW2
Method: DFT, GGA-PBE
State: relaxed

Structure (CIF):
```
data_MoIrW2
_chemical_formula_sum 'Mo1 Ir1 W2'
_cell_length_a 9.598
_cell_length_b 9.598
_cell_length_c 9.598
_cell_angle_alpha 16.67
_cell_angle_beta 16.67
_cell_angle_gamma 16.67
_symmetry_space_group_name_H-M 'P 1'
_symmetry_Int_Tables_number 1
_symmetry_space_group_name_Hall 'P 1'
loop_
_atom_site_label
_atom_site_fract_x
_atom_site_fract_y
_atom_site_fract_z
W1 0.754 0.754 0.754
W2 0.000 0.000 0.000
Mo1 0.246 0.246 0.246
Ir1 0.500 0.500 0.500
```



No. 8
Material: MoIr2W
Method: DFT, GGA-PBE
State: relaxed

Structure (CIF):
```
data_MoIr2W
_chemical_formula_sum 'Mo1 Ir2 W1'
_cell_length_a 4.801
_cell_length_b 4.801
_cell_length_c 4.838
_cell_angle_alpha 80.79
_cell_angle_beta 80.79
_cell_angle_gamma 33.70
_symmetry_space_group_name_H-M 'P 1'
_symmetry_Int_Tables_number 1
_symmetry_space_group_name_Hall 'P 1'
loop_
_atom_site_label
_atom_site_fract_x
_atom_site_fract_y
_atom_site_fract_z
Mo1 0.495 0.495 0.524
W1 0.255 0.255 0.227
Ir1 0.751 0.751 0.732
Ir2 0.999 0.999 0.017
```



No. 9
Material: MoIrW2
Method: DFT, GGA-PBE
State: relaxed

Structure (CIF):
```
data_MoIrW2
_chemical_formula_sum 'Mo1 Ir1 W2'
_cell_length_a 3.981
_cell_length_b 3.981
_cell_length_c 3.954
_cell_angle_alpha 90.00
_cell_angle_beta 90.00
_cell_angle_gamma 90.00
_symmetry_space_group_name_H-M 'P 1'
_symmetry_Int_Tables_number 1
_symmetry_space_group_name_Hall 'P 1'
loop_
_atom_site_label
_atom_site_fract_x
_atom_site_fract_y
_atom_site_fract_z
Ir1 0.500 0.000 0.500
Mo1 0.000 0.500 0.500
W1 0.000 0.000 0.000
W2 0.500 0.500 0.000
```



No. 10
Material: Mo2IrW
Method: DFT, GGA-PBE
State: relaxed

Structure (CIF):
```
data_Mo2IrW
_chemical_formula_sum 'Mo2 Ir1 W1'
_cell_length_a 2.738
_cell_length_b 2.738
_cell_length_c 8.503
_cell_angle_alpha 90.00
_cell_angle_beta 90.00
_cell_angle_gamma 99.82
_symmetry_space_group_name_H-M 'P 1'
_symmetry_Int_Tables_number 1
_symmetry_space_group_name_Hall 'P 1'
loop_
_atom_site_label
_atom_site_fract_x
_atom_site_fract_y
_atom_site_fract_z
Ir1 0.500 0.500 0.750
Mo1 0.000 0.000 0.987
Mo2 0.500 0.500 0.250
W1 0.000 0.000 0.513
```



No. 11
Material: Mo2IrW
Method: DFT, GGA-PBE
State: relaxed

Structure (CIF):
```
data_Mo2IrW
_chemical_formula_sum 'Mo2 Ir1 W1'
_cell_length_a 2.734
_cell_length_b 2.734
_cell_length_c 8.503
_cell_angle_alpha 90.00
_cell_angle_beta 90.00
_cell_angle_gamma 99.18
_symmetry_space_group_name_H-M 'P 1'
_symmetry_Int_Tables_number 1
_symmetry_space_group_name_Hall 'P 1'
loop_
_atom_site_label
_atom_site_fract_x
_atom_site_fract_y
_atom_site_fract_z
W1 0.500 0.500 0.250
Ir1 0.500 0.500 0.750
Mo1 0.000 0.000 0.986
Mo2 0.000 0.000 0.514
```



No. 12
Material: Mo2IrW
Method: DFT, GGA-PBE
State: relaxed

Structure (CIF):
```
data_Mo2IrW
_chemical_formula_sum 'Mo2 Ir1 W1'
_cell_length_a 4.897
_cell_length_b 4.897
_cell_length_c 4.891
_cell_angle_alpha 81.27
_cell_angle_beta 81.27
_cell_angle_gamma 32.69
_symmetry_space_group_name_H-M 'P 1'
_symmetry_Int_Tables_number 1
_symmetry_space_group_name_Hall 'P 1'
loop_
_atom_site_label
_atom_site_fract_x
_atom_site_fract_y
_atom_site_fract_z
Ir1 0.250 0.250 0.250
Mo1 0.990 0.990 0.008
Mo2 0.510 0.510 0.492
W1 0.750 0.750 0.750
```



| no. | total magnetic moment (μB/f.u.) | polymorph energy (0 for the lowest one) (kJ per mole of atoms) |
| --- | --- | --- |
| 1 | 0.00 | 0.00 |
| 2 | 0.00 | 3.40 |
| 3 | 0.00 | 45.65 |
| 4 | 0.00 | 6.24 |
| 5 | 0.00 | 3.81 |
| 6 | 0.00 | 1.62 |
| 7 | 0.00 | 16.73 |
| 8 | 0.00 | 12.60 |
| 9 | 0.00 | 0.79 |
| 10 | 0.00 | 1.14 |
| 11 | 0.00 | 0.53 |
| 12 | 0.00 | 3.57 |